SrAgSe GGA-PBE relaxed; energy relative to the lowest polymorph listed for this composition = 428 meV per atom; total magnetic moment = 0.00 Bohr magnetons per cell; E_form (uncorrected) = -619 meV/atom; final energy = -3.29 eV per atom
1.0
-3.697 3.077 1.690
-4.473 -1.957 1.467
-1.277 -0.021 4.936
Ag Se Sr
1 1 1
Direct
0.000 0.000 0.000 Ag
0.500 0.500 0.500 Se
0.250 0.250 0.250 Sr



SrAgSe2 GGA-PBE relaxed; total magnetic moment = 0.00 Bohr magnetons per cell; E_form (uncorrected) = -773 meV/atom; final energy = -3.65 eV per atom
1.0
-1.459 3.279 6.368
-5.811 3.369 2.883
2.842 -5.751 -3.505
Ag Se Sr
1 2 1
Direct
0.212 0.712 0.500 Ag
0.052 0.052 0.000 Se
0.776 0.276 0.500 Se
0.461 0.461 0.000 Sr



SrAgSe GGA-PBE relaxed; energy relative to the lowest polymorph listed for this composition = 91 meV per atom; total magnetic moment = 0.00 Bohr magnetons per cell; E_form (uncorrected) = -957 meV/atom; final energy = -3.63 eV per atom
1.0
6.400 0.000 0.000
0.000 4.396 0.000
-4.984 0.000 12.106
Sr Ag Se
4 4 4
Direct
0.178 0.000 0.249 Sr
0.178 0.500 0.749 Sr
0.559 0.000 0.590 Sr
0.559 0.500 0.090 Sr
0.703 0.000 0.900 Ag
0.703 0.500 0.400 Ag
0.999 0.000 0.523 Ag
0.999 0.500 0.023 Ag
0.305 0.000 0.927 Se
0.305 0.500 0.427 Se
0.694 0.000 0.268 Se
0.694 0.500 0.768 Se



SrAgSe2 GGA-PBE relaxed; total magnetic moment = 0.80 Bohr magnetons per cell; E_form (uncorrected) = -732 meV/atom; final energy = -3.61 eV per atom
1.0
6.172 5.291 1.923
6.963 1.363 4.409
8.205 1.567 -0.135
Sr Se Ag
1 2 1
Direct
0.500 0.500 0.500 Sr
0.897 0.897 0.897 Se
0.103 0.103 0.103 Se
0.000 0.000 0.000 Ag



SrAgSe GGA-PBE relaxed; energy relative to the lowest polymorph listed for this composition = 69 meV per atom; total magnetic moment = 0.00 Bohr magnetons per cell; E_form (uncorrected) = -978 meV/atom; final energy = -3.65 eV per atom
1.0
-6.822 -2.703 1.106
1.242 -1.563 3.841
3.043 11.457 3.678
Sr Ag Se
4 4 4
Direct
0.357 0.000 0.781 Sr
0.357 0.500 0.281 Sr
0.726 0.000 0.634 Sr
0.726 0.500 0.134 Sr
0.969 0.000 0.029 Ag
0.969 0.500 0.529 Ag
0.773 0.000 0.364 Ag
0.773 0.500 0.864 Ag
0.065 0.000 0.278 Se
0.065 0.500 0.778 Se
0.417 0.000 0.117 Se
0.417 0.500 0.617 Se



SrAg3Se3 GGA-PBE relaxed; energy relative to the lowest polymorph listed for this composition = 0 meV per atom; total magnetic moment = 0.00 Bohr magnetons per cell; E_form (uncorrected) = -580 meV/atom; final energy = -3.54 eV per atom
1.0
-3.807 6.220 -2.202
-7.465 0.591 1.398
-2.301 5.440 6.168
Sr Ag Se
2 6 6
Direct
0.334 0.334 0.999 Sr
0.666 0.666 0.001 Sr
0.462 0.786 0.629 Ag
0.786 0.124 0.629 Ag
0.124 0.462 0.629 Ag
0.876 0.538 0.371 Ag
0.214 0.876 0.371 Ag
0.538 0.214 0.371 Ag
0.249 0.585 0.249 Se
0.918 0.249 0.249 Se
0.585 0.918 0.249 Se
0.415 0.082 0.751 Se
0.082 0.751 0.751 Se
0.751 0.415 0.751 Se



SrAg5Se4 GGA-PBE relaxed; total magnetic moment = 0.00 Bohr magnetons per cell; E_form (uncorrected) = -420 meV/atom; final energy = -3.41 eV per atom
1.0
4.312 0.000 0.000
-2.156 7.630 -3.257
0.000 -0.702 7.824
Sr Ag Se
1 5 4
Direct
0.500 0.000 0.000 Sr
0.178 0.356 0.388 Ag
0.178 0.357 0.969 Ag
0.822 0.643 0.031 Ag
0.500 0.000 0.500 Ag
0.822 0.644 0.612 Ag
0.719 0.439 0.220 Se
0.000 0.000 0.284 Se
0.281 0.561 0.780 Se
0.000 0.000 0.716 Se



SrAgSe2 GGA-PBE relaxed; total magnetic moment = 0.00 Bohr magnetons per cell; E_form (uncorrected) = -427 meV/atom; final energy = -3.30 eV per atom
1.0
-0.561 -4.548 -2.411
4.058 -3.173 -0.519
0.202 -4.408 2.708
Ag Se Sr
1 2 1
Direct
0.500 0.500 0.500 Ag
0.000 0.000 0.000 Se
0.250 0.250 0.250 Se
0.750 0.750 0.750 Sr



SrAg3Se3 GGA-PBE relaxed; energy relative to the lowest polymorph listed for this composition = 206 meV per atom; total magnetic moment = 0.00 Bohr magnetons per cell; E_form (uncorrected) = -375 meV/atom; final energy = -3.33 eV per atom
1.0
-2.461 6.790 1.402
-3.392 -2.476 6.040
6.047 1.374 3.959
Sr Se Ag
2 6 6
Direct
0.500 0.500 0.500 Sr
0.000 0.000 0.000 Sr
0.000 0.250 0.500 Se
0.000 0.750 0.500 Se
0.500 0.000 0.750 Se
0.750 0.500 0.000 Se
0.500 0.000 0.250 Se
0.250 0.500 0.000 Se
0.250 0.000 0.500 Ag
0.000 0.500 0.250 Ag
0.500 0.750 0.000 Ag
0.750 0.000 0.500 Ag
0.000 0.500 0.750 Ag
0.500 0.250 0.000 Ag



SrAg3Se GGA-PBE relaxed; energy relative to the lowest polymorph listed for this composition = 0 meV per atom; total magnetic moment = 0.00 Bohr magnetons per cell; E_form (uncorrected) = 58 meV/atom; final energy = -2.69 eV per atom
1.0
5.198 0.000 0.000
0.000 5.198 0.000
0.000 0.000 5.198
Sr Se Ag
1 1 3
Direct
0.500 0.500 0.500 Sr
0.000 0.000 0.000 Se
0.000 0.500 0.000 Ag
0.000 0.000 0.500 Ag
0.500 0.000 0.000 Ag



SrAgSe2 GGA-PBE relaxed; total magnetic moment = 0.00 Bohr magnetons per cell; E_form (uncorrected) = -793 meV/atom; final energy = -3.67 eV per atom
1.0
4.996 -0.038 -0.001
-0.600 4.960 -0.001
0.001 0.002 3.915
Ag Se Sr
1 2 1
Direct
0.000 0.500 0.500 Ag
0.000 0.000 0.000 Se
0.500 0.500 0.000 Se
0.500 0.000 0.500 Sr



SrAg3Se GGA-PBE relaxed; energy relative to the lowest polymorph listed for this composition = 1006 meV per atom; total magnetic moment = 0.00 Bohr magnetons per cell; E_form (uncorrected) = 1064 meV/atom; final energy = -1.68 eV per atom
1.0
-4.099 -3.530 -1.662
3.039 -4.400 1.851
-2.447 0.448 5.083
Sr Se Ag
1 1 3
Direct
0.000 0.000 0.000 Sr
0.500 0.500 0.500 Se
0.000 0.500 0.000 Ag
0.000 0.000 0.500 Ag
0.500 0.000 0.000 Ag



SrAgSe2 GGA-PBE relaxed; total magnetic moment = 0.00 Bohr magnetons per cell; E_form (uncorrected) = -830 meV/atom; final energy = -3.71 eV per atom
1.0
-4.102 -1.808 -2.989
3.244 -1.065 -4.168
-0.233 -1.950 5.017
Ag Se Sr
1 2 1
Direct
0.250 0.750 0.500 Ag
0.041 0.041 0.000 Se
0.459 0.459 0.000 Se
0.750 0.250 0.500 Sr



SrAgSe2 GGA-PBE relaxed; total magnetic moment = 0.00 Bohr magnetons per cell; E_form (uncorrected) = -768 meV/atom; final energy = -3.64 eV per atom
1.0
-5.376 1.827 1.621
-1.234 -5.414 2.008
-0.618 0.105 8.586
Sr Se Ag
2 4 2
Direct
0.500 0.500 0.000 Sr
0.250 0.750 0.500 Sr
0.689 0.125 0.250 Se
0.061 0.625 0.250 Se
0.375 0.311 0.750 Se
0.875 0.939 0.750 Se
0.000 0.000 0.000 Ag
0.750 0.250 0.500 Ag



SrAgSe2 GGA-PBE relaxed; total magnetic moment = 0.00 Bohr magnetons per cell; E_form (uncorrected) = -886 meV/atom; final energy = -3.76 eV per atom
1.0
6.728 0.166 0.273
5.311 4.134 0.273
0.987 0.353 4.081
Ag Se Sr
1 2 1
Direct
0.188 0.188 0.418 Ag
0.056 0.056 0.030 Se
0.818 0.818 0.356 Se
0.438 0.438 0.696 Sr



SrAgSe2 GGA-PBE relaxed; total magnetic moment = 0.00 Bohr magnetons per cell; E_form (uncorrected) = -857 meV/atom; final energy = -3.73 eV per atom
1.0
-1.184 -1.110 6.656
3.111 -1.276 5.969
1.100 2.574 6.253
Ag Se Sr
1 2 1
Direct
0.750 0.750 0.750 Ag
0.011 0.011 0.011 Se
0.489 0.489 0.489 Se
0.250 0.250 0.250 Sr



SrAgSe2 GGA-PBE relaxed; total magnetic moment = 0.00 Bohr magnetons per cell; E_form (uncorrected) = -687 meV/atom; final energy = -3.56 eV per atom
1.0
6.610 0.205 0.134
4.615 4.736 0.134
4.615 2.031 4.280
Ag Se Sr
1 2 1
Direct
0.727 0.727 0.727 Ag
0.872 0.872 0.872 Se
0.362 0.362 0.362 Se
0.539 0.539 0.539 Sr



SrAgSe2 GGA-PBE relaxed; total magnetic moment = 0.00 Bohr magnetons per cell; E_form (uncorrected) = -997 meV/atom; final energy = -3.87 eV per atom
1.0
-3.312 -1.267 -2.416
0.217 -3.911 1.752
-6.837 3.093 7.751
Sr Ag Se
2 2 4
Direct
0.000 0.500 0.287 Sr
0.500 0.000 0.713 Sr
0.500 0.500 0.000 Ag
0.000 0.000 0.000 Ag
0.500 0.000 0.169 Se
0.000 0.500 0.831 Se
0.000 0.000 0.500 Se
0.500 0.500 0.500 Se



SrAgSe GGA-PBE relaxed; energy relative to the lowest polymorph listed for this composition = 317 meV per atom; total magnetic moment = 0.00 Bohr magnetons per cell; E_form (uncorrected) = -730 meV/atom; final energy = -3.40 eV per atom
1.0
-2.369 -5.060 1.368
1.674 -4.940 2.425
-1.053 -0.141 4.043
Ag Se Sr
1 1 1
Direct
0.015 0.015 0.985 Ag
0.294 0.294 0.706 Se
0.692 0.692 0.308 Sr



Sr4AgSe GGA-PBE relaxed; total magnetic moment = 0.00 Bohr magnetons per cell; E_form (uncorrected) = 255 meV/atom; final energy = -1.92 eV per atom
1.0
0.000 5.025 5.025
5.025 0.000 5.025
5.025 5.025 0.000
Sr Ag Se
4 1 1
Direct
0.876 0.375 0.375 Sr
0.375 0.375 0.876 Sr
0.375 0.876 0.375 Sr
0.375 0.375 0.375 Sr
0.750 0.750 0.750 Ag
0.000 0.000 0.000 Se